# 1
Here is KZn2Sb after structural relaxation from Alexandria via LeMat-Bulk. Energies are from PBE.

a b c (Å): 10.299 10.299 10.299
angles (deg): 19.69 19.69 19.69
Atoms (fractional coordinates):
1 Zn 0.492 0.492 0.492
2 Zn 0.008 0.008 0.008
3 K 0.250 0.250 0.250
4 Sb 0.750 0.750 0.750

Output
Total DFT energy (no corrections) ... -1.672 eV per atom
ρ ... 4.5 Mg/m³
Magnetization ... 0.0 μB/f.u.



# 2
Here is KZn3Sb3 after structural relaxation from Alexandria via LeMat-Bulk. Energies are from PBE.

a b c (Å): 4.575 10.602 10.601
angles (deg): 120.00 90.00 90.00
Atoms (fractional coordinates):
1 Sb 0.750 0.677 0.602
2 Sb 0.250 0.323 0.398
3 Sb 0.250 0.075 0.677
4 Sb 0.750 0.925 0.323
5 Sb 0.250 0.602 0.925
6 Sb 0.750 0.398 0.075
7 Zn 0.250 0.593 0.666
8 Zn 0.750 0.666 0.073
9 Zn 0.250 0.334 0.927
10 Zn 0.750 0.407 0.334
11 Zn 0.250 0.073 0.407
12 Zn 0.750 0.927 0.593
13 K 0.750 0.333 0.667
14 K 0.250 0.667 0.333

Output
Total DFT energy (no corrections) ... -2.552 eV per atom
ρ ... 4.5 Mg/m³
Magnetization ... 0.0 μB/f.u.



# 3
Here is KZn2Sb after structural relaxation from Alexandria via LeMat-Bulk. Energies are from PBE.

a b c (Å): 3.594 4.126 7.256
angles (deg): 90.00 90.00 90.00
Atoms (fractional coordinates):
1 Zn 0.000 0.000 0.938
2 Zn 0.000 0.000 0.562
3 Sb 0.500 0.500 0.750
4 K 0.500 0.500 0.250

Output
Total DFT energy (no corrections) ... -1.847 eV per atom
ρ ... 4.5 Mg/m³
Magnetization ... 0.0 μB/f.u.



# 4
Here is KZn2Sb after structural relaxation from Alexandria via LeMat-Bulk. Energies are from PBE.

a b c (Å): 3.572 3.572 8.041
angles (deg): 90.00 90.00 89.96
Atoms (fractional coordinates):
1 K 0.000 0.000 0.481
2 Sb 0.500 0.500 0.813
3 Zn 0.500 0.500 0.174
4 Zn 0.000 0.000 0.032

Output
Total DFT energy (no corrections) ... -1.916 eV per atom
ρ ... 4.7 Mg/m³
Magnetization ... 0.0 μB/f.u.



# 5
Here is KZn4Sb3 after structural relaxation from Alexandria via LeMat-Bulk. Energies are from PBE.

a b c (Å): 4.503 4.503 12.753
angles (deg): 79.83 79.83 60.00
Atoms (fractional coordinates):
1 Zn 0.918 0.918 0.245
2 Zn 0.696 0.696 0.911
3 Zn 0.082 0.082 0.755
4 Zn 0.304 0.304 0.089
5 Sb 0.233 0.233 0.302
6 Sb 0.767 0.767 0.698
7 Sb 0.000 0.000 0.000
8 K 0.500 0.500 0.500

Output
Total DFT energy (no corrections) ... -2.462 eV per atom
ρ ... 5.0 Mg/m³
Magnetization ... 0.0 μB/f.u.



# 6
Here is KZn3Sb3 after structural relaxation from Alexandria via LeMat-Bulk. Energies are from PBE.

a b c (Å): 7.570 7.570 7.570
angles (deg): 90.00 90.00 90.00
Atoms (fractional coordinates):
1 K 0.000 0.000 0.000
2 K 0.500 0.500 0.500
3 Sb 0.000 0.750 0.500
4 Sb 0.500 0.000 0.250
5 Sb 0.750 0.500 0.000
6 Sb 0.000 0.250 0.500
7 Sb 0.500 0.000 0.750
8 Sb 0.250 0.500 0.000
9 Zn 0.750 0.000 0.500
10 Zn 0.500 0.250 0.000
11 Zn 0.000 0.500 0.250
12 Zn 0.250 0.000 0.500
13 Zn 0.000 0.500 0.750
14 Zn 0.500 0.750 0.000

Output
Total DFT energy (no corrections) ... -2.589 eV per atom
ρ ... 4.6 Mg/m³
Magnetization ... 0.0 μB/f.u.



# 7
Here is K5ZnSb2 after structural relaxation from Alexandria via LeMat-Bulk. Energies are from PBE.

a b c (Å): 6.104 6.104 10.419
angles (deg): 72.97 72.97 60.00
Atoms (fractional coordinates):
1 K 0.781 0.781 0.658
2 K 0.370 0.370 0.890
3 K 0.219 0.219 0.342
4 K 0.500 0.500 0.500
5 K 0.630 0.630 0.110
6 Zn 0.000 0.000 0.000
7 Sb 0.088 0.088 0.735
8 Sb 0.912 0.912 0.265

Output
Total DFT energy (no corrections) ... -2.197 eV per atom
ρ ... 2.6 Mg/m³
Magnetization ... 0.0 μB/f.u.



# 8
Here is KZn2Sb after structural relaxation from Alexandria via LeMat-Bulk. Energies are from PBE.

a b c (Å): 6.083 6.528 3.062
angles (deg): 76.12 90.66 117.95
Atoms (fractional coordinates):
1 K 0.000 0.500 0.500
2 Zn 0.500 0.000 0.500
3 Zn 0.000 0.000 0.000
4 Sb 0.500 0.500 0.000

Output
Total DFT energy (no corrections) ... -1.749 eV per atom
ρ ... 4.7 Mg/m³
Magnetization ... 0.0 μB/f.u.



# 9
Here is KZnSb after structural relaxation from Alexandria via LeMat-Bulk. Energies are from PBE.

a b c (Å): 7.442 9.733 6.423
angles (deg): 98.37 111.24 66.67
Atoms (fractional coordinates):
1 K 0.515 0.558 0.477
2 K 0.320 0.900 0.110
3 K 0.711 0.185 0.089
4 K 0.079 0.506 0.678
5 Zn 0.747 0.976 0.570
6 Zn 0.711 0.837 0.868
7 Zn 0.073 0.306 0.072
8 Zn 0.369 0.053 0.659
9 Sb 0.761 0.577 0.057
10 Sb 0.956 0.789 0.310
11 Sb 0.410 0.239 0.429
12 Sb 0.987 0.155 0.683

Output
Total DFT energy (no corrections) ... -2.403 eV per atom
ρ ... 3.8 Mg/m³
Magnetization ... 0.0 μB/f.u.



# 10
Here is KZn2Sb after structural relaxation from Alexandria via LeMat-Bulk. Energies are from PBE.

a b c (Å): 8.639 8.639 7.006
angles (deg): 51.93 51.93 90.00
Atoms (fractional coordinates):
1 Zn 0.875 0.960 0.750
2 Zn 0.710 0.125 0.250
3 Zn 0.375 0.290 0.750
4 Zn 0.040 0.625 0.250
5 Sb 0.000 0.000 0.000
6 Sb 0.750 0.250 0.500
7 K 0.500 0.500 0.000
8 K 0.250 0.750 0.500

Output
Total DFT energy (no corrections) ... -1.848 eV per atom
ρ ... 3.8 Mg/m³
Magnetization ... 0.0 μB/f.u.



# 11
Here is K2Zn6Sb3 after structural relaxation from Alexandria via LeMat-Bulk. Energies are from PBE.

a b c (Å): 4.511 8.342 8.342
angles (deg): 120.00 90.00 90.00
Atoms (fractional coordinates):
1 Zn 0.500 0.712 0.712
2 Zn 0.000 0.175 0.175
3 Zn 0.000 0.000 0.825
4 Zn 0.500 0.000 0.288
5 Zn 0.500 0.288 0.000
6 Zn 0.000 0.825 0.000
7 Sb 0.500 0.363 0.363
8 Sb 0.500 0.637 0.000
9 Sb 0.500 0.000 0.637
10 K 0.000 0.667 0.333
11 K 0.000 0.333 0.667

Output
Total DFT energy (no corrections) ... -2.135 eV per atom
ρ ... 5.1 Mg/m³
Magnetization ... 0.0 μB/f.u.



# 12
Here is KZn2Sb after structural relaxation from Alexandria via LeMat-Bulk. Energies are from PBE.

a b c (Å): 5.227 5.227 5.227
angles (deg): 60.00 60.00 60.00
Atoms (fractional coordinates):
1 Zn 0.000 0.000 0.000
2 Zn 0.250 0.250 0.250
3 Sb 0.750 0.750 0.750
4 K 0.500 0.500 0.500

Output
Total DFT energy (no corrections) ... -1.801 eV per atom
ρ ... 4.8 Mg/m³
Magnetization ... 0.0 μB/f.u.



For reference, formation energy from raw total energies by record: 270 -83 95 26 -142 -119 -321 193 -239 94 -116 141 meV per atom.